[1]
This record from Alexandria describes a relaxed SbPb2Au2 crystal. The functional is GGA-PBE.

POSCAR file:
```
SbPb2Au2
1.0
-0.4809 -4.1639 -1.9701
4.2572 0.3549 -1.7893
4.2908 -4.6309 3.2961
Pb Sb Au
2 1 2
Direct
0.2500 0.7500 0.5000 Pb
0.7500 0.2500 0.5000 Pb
0.0000 0.0000 0.0000 Sb
0.6043 0.6043 0.7913 Au
0.3957 0.3957 0.2087 Au
```

Offset from the most stable computed form ... 1.13 eV/f.u.
Formation energy (no corrections) ... 164.4 meV per atom
VASP energy ... -0.2539 Ry/atom
Space-group type ... I4/mmm, No. 139
Mass density ... 11.38 g/cm3


[2]
This record from Alexandria describes a relaxed SbPb4Au2 crystal. The functional is GGA-PBE.

POSCAR file:
```
SbPb4Au2
1.0
4.9359 0.0000 0.0000
2.4680 4.2746 0.0000
2.4680 1.4249 9.8581
Pb Sb Au
4 1 2
Direct
0.8865 0.8865 0.3406 Pb
0.2981 0.2981 0.1056 Pb
0.7019 0.7019 0.8944 Pb
0.1135 0.1135 0.6594 Pb
0.5000 0.5000 0.5000 Sb
0.6007 0.6007 0.1980 Au
0.3993 0.3993 0.8020 Au
```

Formation energy (no corrections) ... -29.6 meV per atom
VASP energy ... -0.2700 Ry/atom
Space-group type ... R-3m, No. 166
Mass density ... 10.73 g/cm3


[3]
This record from Alexandria describes a relaxed Sb2Pb2Au3 crystal. The functional is GGA-PBE.

POSCAR file:
```
Sb2Pb2Au3
1.0
-0.6232 -2.7577 -3.3118
5.2777 1.7842 -2.4789
3.4827 -3.6184 5.2203
Sb Pb Au
2 2 3
Direct
0.5998 0.8178 0.1996 Sb
0.4002 0.1822 0.8004 Sb
0.8547 0.6050 0.7094 Pb
0.1453 0.3950 0.2906 Pb
0.0000 0.0000 0.0000 Au
0.7446 0.1588 0.4892 Au
0.2554 0.8412 0.5108 Au
```

Offset from the most stable computed form ... 0.00 eV/f.u.
Formation energy (no corrections) ... -55.7 meV per atom
VASP energy ... -0.2718 Ry/atom
Space-group type ... C2/m, No. 12
Mass density ... 11.31 g/cm3


[4]
This record from Alexandria describes a relaxed Sb2PbAu3 crystal. The functional is GGA-PBE.

POSCAR file:
```
Sb2PbAu3
1.0
4.7542 0.0000 -1.2980
-0.4741 6.6943 -1.7364
-0.0109 -0.2415 9.3155
Au Sb Pb
6 4 2
Direct
0.3734 0.5106 0.7467 Au
0.0691 0.6810 0.1382 Au
0.9309 0.3190 0.8618 Au
0.2638 0.1082 0.5276 Au
0.6266 0.4894 0.2533 Au
0.7362 0.8918 0.4724 Au
0.7702 0.3216 0.5404 Sb
0.2298 0.6784 0.4596 Sb
0.5184 0.7900 0.0367 Sb
0.4816 0.2100 0.9633 Sb
0.8911 0.8014 0.7822 Pb
0.1089 0.1986 0.2178 Pb
```

Formation energy (no corrections) ... -20.2 meV per atom
VASP energy ... -0.2683 Ry/atom
Space-group type ... C2/m, No. 12
Mass density ... 11.76 g/cm3


[5]
This record from Alexandria describes a relaxed Sb2Pb2Au5 crystal. The functional is GGA-PBE.

POSCAR file:
```
Sb2Pb2Au5
1.0
-3.5391 2.8888 -0.4235
-3.8842 -0.0298 7.4042
1.5427 6.0444 3.4863
Au Pb Sb
5 2 2
Direct
0.1001 0.5179 0.2818 Au
0.0000 0.0000 0.0000 Au
0.3822 0.9706 0.2650 Au
0.8999 0.4821 0.7182 Au
0.6178 0.0294 0.7350 Au
0.6422 0.6795 0.0362 Pb
0.3578 0.3205 0.9638 Pb
0.8679 0.8162 0.4481 Sb
0.1321 0.1838 0.5519 Sb
```

Formation energy (no corrections) ... -10.7 meV per atom
VASP energy ... -0.2625 Ry/atom
Space-group type ... C2/m, No. 12
Mass density ... 11.33 g/cm3


[6]
This record from Alexandria describes a relaxed Sb3PbAu3 crystal. The functional is GGA-PBE.

POSCAR file:
```
Sb3PbAu3
1.0
7.5075 0.2827 2.7053
3.6023 7.0712 2.2677
0.9127 0.3026 7.8060
Sb Au Pb
6 6 2
Direct
0.7859 0.3591 0.7328 Sb
0.8690 0.2511 0.3297 Sb
0.5902 0.9639 0.3051 Sb
0.1310 0.7489 0.6703 Sb
0.2141 0.6409 0.2672 Sb
0.4098 0.0361 0.6949 Sb
0.4044 0.6821 0.8378 Au
0.7339 0.0591 0.7109 Au
0.8798 0.5754 0.3411 Au
0.5956 0.3179 0.1622 Au
0.1202 0.4246 0.6589 Au
0.2661 0.9409 0.2891 Au
0.2944 0.3190 0.0038 Pb
0.7056 0.6810 0.9962 Pb
```

Offset from the most stable computed form ... 0.00 eV/f.u.
Formation energy (no corrections) ... -21.1 meV per atom
VASP energy ... -0.2736 Ry/atom
Space-group type ... P-1, No. 2
Mass density ... 9.97 g/cm3


[7]
This record from Alexandria describes a relaxed Sb2Pb3Au crystal. The functional is GGA-PBE.

POSCAR file:
```
Sb2Pb3Au
1.0
8.3474 2.8947 1.2398
2.4978 8.4746 1.2398
2.1138 2.2159 6.2993
Au Pb Sb
2 6 4
Direct
0.8141 0.1859 0.2500 Au
0.1859 0.8141 0.7500 Au
0.2127 0.0655 0.1976 Pb
0.4428 0.5572 0.2500 Pb
0.0655 0.2127 0.6976 Pb
0.7873 0.9345 0.8024 Pb
0.5572 0.4428 0.7500 Pb
0.9345 0.7873 0.3024 Pb
0.4934 0.8426 0.7362 Sb
0.1574 0.5066 0.7638 Sb
0.5066 0.1574 0.2638 Sb
0.8426 0.4934 0.2362 Sb
```

Formation energy (no corrections) ... 34.6 meV per atom
VASP energy ... -0.2749 Ry/atom
Space-group type ... C2/c, No. 15
Mass density ... 9.55 g/cm3


[8]
This record from Alexandria describes a relaxed SbPb5Au2 crystal. The functional is GGA-PBE.

POSCAR file:
```
SbPb5Au2
1.0
4.1256 0.0000 -0.8196
-0.6159 6.5902 -3.1000
-0.4224 -0.0158 8.6665
Pb Sb Au
5 1 2
Direct
0.3628 0.6318 0.7257 Pb
0.6372 0.3682 0.2743 Pb
0.3628 0.0939 0.7257 Pb
0.0000 0.5000 0.0000 Pb
0.6372 0.9061 0.2743 Pb
0.0000 0.0000 0.0000 Sb
0.2032 0.7032 0.4063 Au
0.7968 0.2968 0.5937 Au
```

Formation energy (no corrections) ... -22.7 meV per atom
VASP energy ... -0.2701 Ry/atom
Space-group type ... Immm, No. 71
Mass density ... 11.05 g/cm3